No. 1
Material: Y2Er3Tm6
Method: DFT, GGA-PBE
State: relaxed

```
Y2Er3Tm6
1.0
-2.3310 2.3310 16.4782
2.3310 -2.3310 16.4782
2.3310 2.3310 -16.4782
Y Er Tm
2 3 6
direct
0.0466 0.0466 0.0000
0.9534 0.9534 0.0000
0.2990 0.2990 0.0000
0.5000 0.5000 0.0000
0.7010 0.7010 0.0000
0.1229 0.6229 0.5000
0.1961 0.1961 0.0000
0.3771 0.8771 0.5000
0.6229 0.1229 0.5000
0.8039 0.8039 0.0000
0.8771 0.3771 0.5000
```

Results
Energy   -4.56 eV per atom
SG   I4/mmm (139)
Volume   358.15 Å³/cell
Energy of formation from the pure elements   0.2942 eV/atom
D(E_F)   18.00 states/eV/f.u.
Total magnetic moment   0.0 μB/cell


No. 2
Material: CsTeRh2
Method: DFT, GGA-PBE
State: relaxed

```
CsTeRh2
1.0
-3.9715 3.9715 3.8773
3.9715 -3.9715 3.8773
3.9715 3.9715 -3.8773
Cs Te Rh
2 2 4
direct
0.0000 0.0000 0.0000
0.7500 0.2500 0.5000
0.2500 0.7500 0.5000
0.5000 0.5000 0.0000
0.2310 0.6250 0.1060
0.3750 0.4810 0.6060
0.5190 0.1250 0.8940
0.8750 0.7690 0.3940
```

Results
Energy   -4.33 eV per atom
SG   I-42d (122)
Volume   244.63 Å³/cell
D(E_F)   3.72 states/eV/f.u.
Raw formation energy   0.3440 eV per atom
Total magnetic moment   0.0 μB/cell


No. 3
Material: BaPaVN4
Method: DFT, GGA-PBE
State: relaxed

```
BaPaVN4
1.0
5.8741 0.0000 0.0000
0.0000 5.7610 0.0000
-2.3446 0.0000 7.1304
Ba Pa V N
2 2 2 8
direct
0.2048 0.2500 0.4241
0.7952 0.7500 0.5759
0.2830 0.2500 0.9508
0.7170 0.7500 0.0492
0.2593 0.7500 0.1690
0.7407 0.2500 0.8310
0.0437 0.7500 0.9453
0.0500 0.7500 0.3056
0.4663 0.5101 0.1836
0.4663 0.9899 0.1836
0.5337 0.0101 0.8164
0.5337 0.4899 0.8164
0.9500 0.2500 0.6944
0.9563 0.2500 0.0547
```

Results
Energy   -8.89 eV per atom
SG   P2_1/m (11)
Volume   241.30 Å³/cell
D(E_F)   0.00 states/eV/f.u.
Raw formation energy   -1.1977 eV per atom
Total magnetic moment   0.0 μB/cell


No. 4
Material: NaSn2Hg2
Method: DFT, GGA-PBE
State: relaxed

```
NaSn2Hg2
1.0
4.3022 -7.5174 0.0000
4.3022 7.5174 0.0000
-3.0374 0.0000 4.1798
Na Sn Hg
2 4 4
direct
0.1454 0.8546 0.7500
0.8546 0.1454 0.2500
0.2792 0.7208 0.2500
0.3964 0.6036 0.7500
0.6036 0.3964 0.2500
0.7208 0.2792 0.7500
0.1532 0.2766 0.9636
0.2766 0.1532 0.4636
0.7234 0.8468 0.5364
0.8468 0.7234 0.0364
```

Results
Energy   -2.05 eV per atom
E above lowest polymorph   38 meV/atom
SG   C2/c (15)
Volume   270.36 Å³/cell
Energy of formation from the pure elements   -0.0649 eV/atom
D(E_F)   1.21 states/eV/f.u.
Total magnetic moment   0.0 μB/cell


No. 5
Material: TlPt2W
Method: DFT, GGA-PBE
State: relaxed

```
TlPt2W
1.0
1.4702 0.8488 9.5118
-1.4702 0.8488 9.5118
0.0000 -1.6977 9.5118
Tl Pt W
1 2 1
direct
0.0000 0.0000 0.0000
0.2427 0.2427 0.2427
0.7573 0.7573 0.7573
0.5000 0.5000 0.5000
```

Results
Energy   -6.70 eV per atom
E above lowest polymorph   193 meV/atom
SG   R-3m (166)
Volume   71.22 Å³/cell
Energy of formation from the pure elements   0.1482 eV/atom
D(E_F)   3.72 states/eV/f.u.
Total magnetic moment   0.0 μB/cell


No. 6
Material: Co2ReNi
Method: DFT, GGA-PBE
State: relaxed

```
Co2ReNi
1.0
2.5626 -3.5811 0.0000
2.5626 3.5811 0.0000
0.0000 0.0000 2.5762
Co Re Ni
2 1 1
direct
0.0000 0.5000 0.0000
0.5000 0.0000 0.0000
0.0000 0.0000 0.5000
0.5000 0.5000 0.5000
```

Results
Energy   -8.00 eV per atom
E above lowest polymorph   99 meV/atom
SG   Cmmm (65)
Volume   47.28 Å³/cell
Energy of formation from the pure elements   0.1100 eV/atom
D(E_F)   4.94 states/eV/f.u.
Total magnetic moment   1.6 μB/cell


No. 7
Material: BaAuSe2N
Method: DFT, GGA-PBE
State: relaxed

```
BaAuSe2N
1.0
6.2399 0.0000 0.0000
0.0000 6.2399 0.0000
0.0000 0.0000 5.2051
Ba Au Se N
1 1 2 1
direct
0.0000 0.0000 0.0000
0.5000 0.5000 0.5000
0.0000 0.5000 0.0000
0.5000 0.0000 0.0000
0.0000 0.0000 0.5000
```

Results
Energy   -2.94 eV per atom
E above lowest polymorph   1199 meV/atom
SG   P4/mmm (123)
Volume   202.67 Å³/cell
D(E_F)   5.68 states/eV/f.u.
Raw formation energy   1.1615 eV per atom
Total magnetic moment   4.1 μB/cell


No. 8
Material: Y3HPb
Method: DFT, GGA-PBE
State: relaxed

```
Y3HPb
1.0
6.0385 0.0000 0.0000
0.0000 13.3447 0.0000
0.0000 0.0000 6.0489
Y H Pb
12 4 4
direct
0.0214 0.2500 0.0178
0.0252 0.1199 0.5208
0.0252 0.3801 0.5208
0.4748 0.6199 0.0208
0.4748 0.8801 0.0208
0.4786 0.7500 0.5178
0.5214 0.2500 0.4822
0.5252 0.1199 0.9792
0.5252 0.3801 0.9792
0.9748 0.6199 0.4792
0.9748 0.8801 0.4792
0.9786 0.7500 0.9822
0.1280 0.7500 0.6439
0.3720 0.2500 0.1439
0.6280 0.7500 0.8561
0.8720 0.2500 0.3561
0.0000 0.0000 0.0000
0.0000 0.5000 0.0000
0.5000 0.0000 0.5000
0.5000 0.5000 0.5000
```

Results
Energy   -5.66 eV per atom
E above lowest polymorph   90 meV/atom
SG   Pnma (62)
Volume   487.43 Å³/cell
D(E_F)   2.83 states/eV/f.u.
Total magnetic moment   0.0 μB/cell


No. 9
Material: K7BiAu2Br2
Method: DFT, GGA-PBE
State: relaxed

```
K7BiAu2Br2
1.0
-3.0843 13.5842 3.2072
3.0843 -13.5842 3.2072
3.0843 13.5842 -3.2072
K Bi Au Br
7 1 2 2
direct
0.0000 0.0000 0.0000
0.1609 0.9192 0.2417
0.3352 0.4271 0.9081
0.5191 0.4271 0.0919
0.6774 0.9192 0.7583
0.8031 0.3826 0.4206
0.9620 0.3826 0.5794
0.3800 0.8800 0.5000
0.0437 0.9240 0.1196
0.8044 0.9240 0.8804
0.2005 0.4195 0.7810
0.6385 0.4195 0.2190
```

Results
Energy   -2.53 eV per atom
SG   Imm2 (44)
Volume   537.51 Å³/cell
Raw formation energy   -0.7415 eV per atom
Total magnetic moment   0.0 μB/cell


No. 10
Material: KLiRuF6
Method: DFT, GGA-PBE
State: relaxed

```
KLiRuF6
1.0
5.3603 0.0000 0.0000
-2.6801 4.6421 0.0000
0.0000 0.0000 5.7741
K Li Ru F
1 1 1 6
direct
0.0000 0.0000 0.0000
0.3333 0.6667 0.5000
0.6667 0.3333 0.5000
0.3771 0.0181 0.6890
0.3771 0.3590 0.3110
0.6410 0.0181 0.3110
0.6410 0.6229 0.6890
0.9819 0.3590 0.6890
0.9819 0.6229 0.3110
```

Results
Energy   -4.93 eV per atom
SG   P312 (149)
Volume   143.68 Å³/cell
D(E_F)   9.30 states/eV/f.u.
Raw formation energy   -2.3201 eV per atom
Total magnetic moment   2.0 μB/cell


No. 11
Material: AsOsRuSe2
Method: DFT, GGA-PBE
State: relaxed

```
AsOsRuSe2
1.0
4.8458 0.0000 0.0000
0.0000 4.8458 0.0000
0.0000 0.0000 4.6502
As Os Ru Se
1 1 1 2
direct
0.0000 0.0000 0.0000
0.0000 0.0000 0.5000
0.5000 0.5000 0.0000
0.0000 0.5000 0.5000
0.5000 0.0000 0.5000
```

Results
Energy   -5.15 eV per atom
E above lowest polymorph   0 meV/atom
SG   P4/mmm (123)
Volume   109.19 Å³/cell
D(E_F)   5.21 states/eV/f.u.
Raw formation energy   1.2733 eV per atom
Total magnetic moment   0.0 μB/cell


No. 12
Material: NpPa2Si7Ir2
Method: DFT, GGA-PBE
State: relaxed

```
NpPa2Si7Ir2
1.0
2.8348 -2.8818 0.0000
2.8348 2.8818 0.0000
-1.6346 0.0000 13.1501
Np Pa Si Ir
1 2 7 2
direct
0.0000 0.0000 0.0000
0.1032 0.1032 0.3447
0.8968 0.8968 0.6553
0.0464 0.5472 0.1604
0.3362 0.3362 0.5462
0.4528 0.9536 0.8396
0.5000 0.5000 0.0000
0.5472 0.0464 0.1604
0.6638 0.6638 0.4538
0.9536 0.4528 0.8396
0.4210 0.4210 0.7237
0.5790 0.5790 0.2763
```

Results
Energy   -7.76 eV per atom
SG   C2/m (12)
Volume   214.85 Å³/cell
D(E_F)   11.82 states/eV/f.u.
Raw formation energy   -0.4576 eV per atom
Total magnetic moment   3.4 μB/cell